Co2Re2Hg (PBE, relaxed); space-group type = P4/mbm, No. 127; DFT total energy = -7.416 eV per atom; formation enthalpy at 0 K = 44.9 kJ/mol of atoms
1.0
7.3472 0.0000 0.0000
0.0000 7.3472 0.0000
0.0000 0.0000 2.6615
Co Re Hg
4 4 2
Cartesian
0.8836 2.7900 0.0000
2.7900 6.4636 0.0000
4.5572 0.8836 0.0000
6.4636 4.5572 0.0000
1.2332 4.9068 1.3308
2.4404 1.2332 1.3308
4.9068 6.1140 1.3308
6.1140 2.4404 1.3308
0.0000 0.0000 0.0000
3.6736 3.6736 0.0000


LiHo2MnSe4 (PBE, relaxed); space-group type = P2/m, No. 10; DFT total energy = -5.656 eV per atom
1.0
6.7767 0.0000 0.0000
0.0000 4.0076 0.0000
-2.3659 0.0000 6.5253
Li Ho Mn Se
1 2 1 4
Cartesian
0.0000 0.0000 0.0000
2.2054 0.0000 3.2626
3.3884 2.0038 0.0000
-1.1830 2.0038 3.2626
-0.1728 0.0000 4.8532
1.0266 2.0038 1.6129
3.3842 2.0038 4.9123
4.5835 0.0000 1.6721


ZnFeTc2 (PBE, relaxed); space-group type = Imm2, No. 44; DFT total energy = -7.509 eV per atom; formation enthalpy at 0 K = 10.5 kJ/mol of atoms
1.0
-1.6128 2.0717 4.0687
1.6128 -2.0717 4.0687
1.6128 2.0717 -4.0687
Zn Fe Tc
1 1 2
Cartesian
0.0000 0.0000 0.0000
1.6128 0.0000 1.9803
0.0000 0.0000 3.9578
0.0000 2.0717 1.9348


LiAl2Cl (PBE, relaxed); space-group type = Pmm2, No. 25; excess energy over the best structure of this formula in the dataset = 57 meV/atom; DFT total energy = -3.251 eV per atom
1.0
3.1341 0.0000 0.0000
0.0000 3.7548 0.0000
0.0000 0.0000 7.2228
Li Al Cl
1 2 1
Cartesian
0.0000 0.0000 0.0000
0.0000 0.0000 3.5772
1.5670 1.8774 2.3847
1.5670 1.8774 7.0070


Number 1: magnetic moment 0.00 μB/f.u.. Number 2: magnetic moment 4.19 μB/f.u.. Number 3: magnetic moment 2.22 μB/f.u.. Number 4: magnetic moment 0.00 μB/f.u..